Here is an optimized crystal structure of Dy2YRh3 from Alexandria. Energies are from GGA-PBE.

abc: 3.4310 3.4310 10.2856
angles: 90.00 90.00 90.00
Last column: nearest neighbours and their distance in Å.
Space group P4/mmm (No. 123)
Symmetry-distinct sites (fractional):
Dy1 0.0000 0.0000 0.1664  8 Rh 2.96-2.97
Y1 0.0000 0.0000 0.5000  8 Rh 2.98
Rh1 0.5000 0.5000 0.0000  8 Dy 2.97
Rh2 0.5000 0.5000 0.3312  4 Dy 2.96, 4 Y 2.98

Summary:
- distance to the lowest polymorph of the same formula (eV/atom) = 0.003
- E (eV per atom) = -7.151